Version A
# Ca2CrCo

A geometry-optimized Ca2CrCo structure (PBE, the Alexandria database).

Geometry as POSCAR:
```
Ca2CrCo
1.0
-6.173 0.274 8.438
4.911 -8.387 3.864
0.797 -2.758 7.154
Cr Ca Co
2 4 2
Direct
0.500 0.500 0.000
0.250 0.750 0.500
0.799 0.125 0.250
0.951 0.625 0.250
0.375 0.201 0.750
0.875 0.049 0.750
0.000 0.000 0.000
0.750 0.250 0.500
```

Output
**Spin magnetization**: 6.8 μB per cell
**N(E_F)**: 6.5 states/eV per cell

=====

Version B
# Ca2CrCo

A geometry-optimized Ca2CrCo structure (PBE, the Alexandria database).

Geometry as POSCAR:
```
Ca2CrCo
1.0
-2.833 5.901 -6.761
-2.295 2.926 -8.645
-5.378 3.413 -6.928
Cr Ca Co
1 2 1
Direct
0.750 0.750 0.750
0.987 0.987 0.987
0.513 0.513 0.513
0.250 0.250 0.250
```

Output
**Spin magnetization**: 5.8 μB per cell
**N(E_F)**: 3.3 states/eV per cell

=====

Of them, the most stable is version A and the least stable is version B.

=====

Version A
# BeRhBr2

A geometry-optimized BeRhBr2 structure (PBE, the Alexandria database).

Geometry as POSCAR:
```
BeRhBr2
1.0
-2.663 -4.602 4.944
-1.322 -7.139 0.073
4.679 5.202 -1.937
Be Rh Br
1 1 2
Direct
0.370 0.870 0.500
0.388 0.388 0.000
0.983 0.983 0.000
0.758 0.258 0.500
```

Output
**Spin magnetization**: 1.0 μB per cell
**N(E_F)**: 1.5 states/eV per cell

=====

Version B
# BeRhBr2

A geometry-optimized BeRhBr2 structure (PBE, the Alexandria database).

Geometry as POSCAR:
```
BeRhBr2
1.0
6.110 0.000 -0.001
0.000 3.768 0.000
-2.568 0.000 8.498
Be Rh Br
2 2 4
Direct
0.450 0.500 0.611
0.403 0.000 0.804
0.674 0.000 0.653
0.627 0.500 0.860
0.057 0.000 0.849
0.255 0.000 0.475
0.627 0.000 0.060
0.751 0.500 0.468
```

Output
**Spin magnetization**: 0.0 μB per cell

=====

Of them, the most stable is version B and the least stable is version A.

=====

Version A
# K2Zn

A geometry-optimized K2Zn structure (PBE, the Alexandria database).

Geometry as POSCAR:
```
K2Zn
1.0
8.404 9.808 8.592
-9.559 -6.124 -10.572
-3.599 0.472 2.981
K Zn
4 2
Direct
0.429 0.571 0.250
0.571 0.429 0.750
0.695 0.305 0.250
0.305 0.695 0.750
0.016 0.984 0.250
0.984 0.016 0.750
```

Output
**Spin magnetization**: 0.0 μB per cell
**N(E_F)**: 3.2 states/eV per cell

=====

Version B
# K2Zn

A geometry-optimized K2Zn structure (PBE, the Alexandria database).

Geometry as POSCAR:
```
K2Zn
1.0
-5.267 -0.916 -3.136
2.645 -4.699 3.055
-2.035 0.905 3.153
K Zn
2 1
Direct
0.667 0.333 0.000
0.333 0.667 0.000
0.000 0.000 0.500
```

Output
**Spin magnetization**: 0.0 μB per cell
**N(E_F)**: 2.3 states/eV per cell

=====

Of them, the most stable is version A and the least stable is version B.

=====

Version A
# Na2FeCl4

A geometry-optimized Na2FeCl4 structure (PBE, the Alexandria database).

Geometry as POSCAR:
```
Na2FeCl4
1.0
4.931 0.000 0.000
0.000 4.931 0.000
-2.465 -2.465 6.998
Na Fe Cl
2 1 4
Direct
0.635 0.635 0.269
0.365 0.365 0.731
0.000 0.000 0.000
0.827 0.827 0.655
0.173 0.173 0.345
0.000 0.500 0.000
0.500 0.000 0.000
```

Output
**Spin magnetization**: 4.0 μB per cell
**N(E_F)**: 4.8 states/eV per cell

=====

Version B
# Na2FeCl4

A geometry-optimized Na2FeCl4 structure (PBE, the Alexandria database).

Geometry as POSCAR:
```
Na2FeCl4
1.0
-5.101 4.271 -0.817
-3.041 -2.603 5.376
6.371 2.467 0.619
Na Fe Cl
2 1 4
Direct
0.750 0.250 0.500
0.250 0.750 0.500
0.500 0.500 0.000
0.829 0.414 0.242
0.414 0.829 0.242
0.586 0.586 0.758
0.171 0.171 0.758
```

Output
**Spin magnetization**: 4.0 μB per cell
**N(E_F)**: 6.8 states/eV per cell

=====

Of them, the most stable is version B and the least stable is version A.